[1]
Entry from OQMD: a geometry-optimized RbScPdSe3 structure (PBE).

Lattice parameters (Å, degrees): 8.8027 3.9880 10.0453 90.00 112.14 90.00
With the nearest neighbours (Å) after each atom.
Fractional coordinates of all 12 atoms:
Se (0.9599, 0.2500, 0.6463)  3 Sc 2.67-2.75
Sc (0.8279, 0.2500, 0.3594)  6 Se 2.67-2.77
Pd (0.4129, 0.2500, 0.9108)  4 Se 2.48-2.71, 2 Pd 2.73
Se (0.2593, 0.7500, 0.9361)  3 Pd 2.48-2.71, 1 Sc 2.77
Rb (0.7238, 0.7500, 0.7568)  6 Se 3.36-3.63
Se (0.3832, 0.2500, 0.6446)  1 Pd 2.59, 2 Sc 2.72
Rb (0.2762, 0.2500, 0.2432)  6 Se 3.36-3.63
Se (0.0401, 0.7500, 0.3537)  3 Sc 2.67-2.75
Se (0.6168, 0.7500, 0.3554)  1 Pd 2.59, 2 Sc 2.72
Sc (0.1721, 0.7500, 0.6406)  6 Se 2.67-2.77
Se (0.7407, 0.2500, 0.0639)  3 Pd 2.48-2.71, 1 Sc 2.77
Pd (0.5871, 0.7500, 0.0892)  4 Se 2.48-2.71, 2 Pd 2.73

=====

[2]
Entry from OQMD: a geometry-optimized LiNdBe structure (PBE).

Lattice parameters (Å, degrees): 4.5525 4.5525 4.5525 60.00 60.00 60.00
With the nearest neighbours (Å) after each atom.
Fractional coordinates of all 3 atoms:
Li (0.2500, 0.2500, 0.2500)  4 Nd 2.79, 4 Be 2.79
Be (0.5000, 0.5000, 0.5000)  4 Li 2.79
Nd (0.0000, 0.0000, 0.0000)  4 Li 2.79

=====

[3]
Entry from OQMD: a geometry-optimized Hf3InBi5 structure (PBE).

Lattice parameters (Å, degrees): 5.9909 5.9909 8.8934 90.00 90.00 120.00
With the nearest neighbours (Å) after each atom.
Fractional coordinates of all 9 atoms:
Bi (0.0000, 0.0000, 0.5000)  6 Hf 3.00
Bi (0.6667, 0.3333, 0.7924)  3 Hf 3.12, 3 Bi 3.46
Bi (0.3333, 0.6667, 0.2076)  3 Hf 3.12, 3 Bi 3.46
Bi (0.6667, 0.3333, 0.2076)  3 Hf 3.12, 3 Bi 3.46
Bi (0.3333, 0.6667, 0.7924)  3 Hf 3.12, 3 Bi 3.46
Hf (0.5000, 0.5000, 0.5000)  4 Hf 3.00, 6 Bi 3.00-3.12
Hf (0.5000, 0.0000, 0.5000)  6 Bi 3.00-3.12, 4 Hf 3.00
In (0.0000, 0.0000, 0.0000)  12 Bi 3.92
Hf (0.0000, 0.5000, 0.5000)  4 Hf 3.00, 6 Bi 3.00-3.12

=====

[4]
Entry from OQMD: a geometry-optimized KZrAg3S4 structure (PBE).

Lattice parameters (Å, degrees): 6.2924 6.2924 6.2924 90.00 90.00 90.00
With the nearest neighbours (Å) after each atom.
Fractional coordinates of all 9 atoms:
S (0.2769, 0.7231, 0.7231)  1 Zr 2.43, 3 Ag 2.64
Ag (0.0000, 0.5000, 0.5000)  4 S 2.64
Ag (0.5000, 0.5000, 0.0000)  4 S 2.64
Zr (0.5000, 0.5000, 0.5000)  4 S 2.43
S (0.7231, 0.2769, 0.7231)  1 Zr 2.43, 3 Ag 2.64
K (0.0000, 0.0000, 0.0000)  4 S 3.02
S (0.7231, 0.7231, 0.2769)  1 Zr 2.43, 3 Ag 2.64
S (0.2769, 0.2769, 0.2769)  1 Zr 2.43, 3 Ag 2.64
Ag (0.5000, 0.0000, 0.5000)  4 S 2.64

=====

[5]
Entry from OQMD: a geometry-optimized LiNbAl structure (PBE).

Lattice parameters (Å, degrees): 4.3877 4.3877 4.3877 60.00 60.00 60.00
With the nearest neighbours (Å) after each atom.
Fractional coordinates of all 3 atoms:
Nb (0.0000, 0.0000, 0.0000)  4 Li 2.69, 4 Al 2.69
Li (0.7500, 0.7500, 0.7500)  4 Nb 2.69
Al (0.2500, 0.2500, 0.2500)  4 Nb 2.69

=====

[6]
Entry from OQMD: a geometry-optimized Y2Ho structure (PBE).

formation enthalpy at 0 K	0.29	eV/atom

Lattice parameters (Å, degrees): 6.5730 6.5730 6.5730 60.00 60.00 60.00
With the nearest neighbours (Å) after each atom.
Fractional coordinates of all 6 atoms:
Y (0.6250, 0.6250, 0.1250)  6 Y 3.29
Ho (0.2500, 0.2500, 0.2500)  12 Y 3.85, 4 Ho 4.03
Y (0.6250, 0.1250, 0.6250)  6 Y 3.29
Y (0.6250, 0.6250, 0.6250)  6 Y 3.29
Ho (0.0000, 0.0000, 0.0000)  12 Y 3.85, 4 Ho 4.03
Y (0.1250, 0.6250, 0.6250)  6 Y 3.29

=====

[7]
Entry from OQMD: a geometry-optimized BaGdHf structure (PBE).

Lattice parameters (Å, degrees): 5.4873 5.4873 5.4873 60.00 60.00 60.00
With the nearest neighbours (Å) after each atom.
Fractional coordinates of all 3 atoms:
Gd (0.0000, 0.0000, 0.0000)  4 Hf 3.36, 4 Ba 3.36
Hf (0.7500, 0.7500, 0.7500)  4 Gd 3.36
Ba (0.2500, 0.2500, 0.2500)  4 Gd 3.36

=====

[8]
Entry from OQMD: a geometry-optimized DyTmCo2Ge4 structure (PBE).

Lattice parameters (Å, degrees): 4.1071 8.6030 8.6030 27.57 90.00 90.00
With the nearest neighbours (Å) after each atom.
Fractional coordinates of all 8 atoms:
Co (0.0000, 0.6789, 0.6789)  5 Ge 2.24-2.37
Co (0.5000, 0.3208, 0.3208)  5 Ge 2.26-2.37
Ge (0.5000, 0.7493, 0.7493)  4 Co 2.37
Ge (0.5000, 0.4558, 0.4558)  1 Co 2.26
Ge (0.0000, 0.5446, 0.5446)  1 Co 2.24
Tm (0.5000, 0.1100, 0.1100)  10 Ge 3.10-3.29, 4 Co 3.12
Dy (0.0000, 0.8906, 0.8906)  10 Ge 3.10-3.29, 4 Co 3.13
Ge (0.0000, 0.2500, 0.2500)  4 Co 2.37

=====

[9]
Entry from OQMD: a geometry-optimized NdGdTh structure (PBE).

formation enthalpy at 0 K	0.81	eV/atom

Lattice parameters (Å, degrees): 5.4115 5.4115 5.4115 60.00 60.00 60.00
With the nearest neighbours (Å) after each atom.
Fractional coordinates of all 3 atoms:
Th (0.2500, 0.2500, 0.2500)  4 Nd 3.31
Nd (0.0000, 0.0000, 0.0000)  4 Th 3.31, 4 Gd 3.31
Gd (0.7500, 0.7500, 0.7500)  4 Nd 3.31

=====

[10]
Entry from OQMD: a geometry-optimized ZrPd2Au2 structure (PBE).

formation enthalpy at 0 K	-0.58	eV/atom

Lattice parameters (Å, degrees): 5.0682 5.0682 9.2728 90.52 90.52 46.74
With the nearest neighbours (Å) after each atom.
Fractional coordinates of all 10 atoms:
Zr (0.7547, 0.7547, 0.2562)  6 Pd 2.82-2.98, 6 Au 2.90-2.97
Pd (0.6509, 0.6509, 0.5526)  3 Zr 2.82-2.92, 5 Au 2.88-2.90, 4 Pd 2.90-2.96
Au (0.1491, 0.1491, 0.0483)  5 Pd 2.89-2.96, 4 Au 2.90-2.97, 3 Zr 2.95-2.97
Au (0.0523, 0.0523, 0.3522)  7 Pd 2.88-2.90, 3 Zr 2.90, 2 Au 2.92-2.97
Pd (0.3491, 0.3491, 0.4474)  3 Zr 2.82-2.92, 5 Au 2.88-2.90, 4 Pd 2.90-2.96
Pd (0.4504, 0.4504, 0.1529)  3 Zr 2.88-2.98, 7 Au 2.88-2.96, 2 Pd 2.90-2.99
Zr (0.2453, 0.2453, 0.7438)  6 Pd 2.82-2.98, 6 Au 2.90-2.97
Au (0.8509, 0.8509, 0.9517)  5 Pd 2.89-2.96, 4 Au 2.90-2.97, 3 Zr 2.95-2.97
Au (0.9477, 0.9477, 0.6478)  7 Pd 2.88-2.90, 3 Zr 2.90, 2 Au 2.92-2.97
Pd (0.5496, 0.5496, 0.8471)  3 Zr 2.88-2.98, 7 Au 2.88-2.96, 2 Pd 2.90-2.99

=====

[11]
Entry from OQMD: a geometry-optimized Hf2Zr2Zn structure (PBE).

formation enthalpy at 0 K	0.60	eV/atom

Lattice parameters (Å, degrees): 3.9826 3.9826 7.7872 104.82 104.82 90.00
With the nearest neighbours (Å) after each atom.
Fractional coordinates of all 5 atoms:
Zn (0.0000, 0.0000, 0.0000)  8 Hf 3.11
Zr (0.2500, 0.7500, 0.5000)  4 Zr 2.82, 4 Hf 3.06
Hf (0.5904, 0.5904, 0.1808)  1 Hf 2.63
Hf (0.4096, 0.4096, 0.8192)  1 Hf 2.63
Zr (0.7500, 0.2500, 0.5000)  4 Zr 2.82, 4 Hf 3.06

=====

[12]
Entry from OQMD: a geometry-optimized LiBiOs2 structure (PBE).

Lattice parameters (Å, degrees): 4.5300 4.5300 4.5300 60.00 60.00 60.00
With the nearest neighbours (Å) after each atom.
Fractional coordinates of all 4 atoms:
Os (0.0000, 0.0000, 0.0000)  4 Os 2.77, 4 Li 2.77
Bi (0.5000, 0.5000, 0.5000)  4 Os 2.77, 4 Li 2.77
Os (0.7500, 0.7500, 0.7500)  4 Os 2.77, 4 Bi 2.77
Li (0.2500, 0.2500, 0.2500)  4 Bi 2.77, 4 Os 2.77

=====

Across the entries above, DFT total energy takes the values -4.8994; -2.8562; -5.8973; -4.6569; -4.3673; -5.5480; -4.2670; -5.8379; -4.7974; -5.6685; -7.0506; -6.4705 eV/atom, respectively.